{
  "formula": "CaIr2",
  "functional": "PBE",
  "state": "relaxed",
  "lattice_angstrom": [[3.694, -3.417, -1.805], [-3.592, -1.056, 3.816], [-3.098, 0.684, -4.303]],
  "species": ["Ir", "Ir", "Ir", "Ir", "Ca", "Ca"],
  "fractional_positions": [[0.129, 0.629, 0.757], [0.871, 0.371, 0.243], [0.371, 0.129, 0.500], [0.629, 0.871, 0.500], [0.750, 0.750, 0.000], [0.250, 0.250, 0.000]],
  "density_g_cm3": 12.736,
  "total_magnetization_mub_per_cell": 0.00,
  "dft_energy_ev_per_cell": -34.527
}



{
  "formula": "KGe2Br4",
  "functional": "PBE",
  "state": "relaxed",
  "lattice_angstrom": [[7.167, 0.431, 0.000], [-3.073, 6.489, 0.000], [-2.047, -3.460, 5.949]],
  "species": ["Ge", "Ge", "Br", "Br", "Br", "Br", "K"],
  "fractional_positions": [[0.750, 0.250, 0.500], [0.250, 0.750, 0.500], [0.847, 0.325, 0.172], [0.675, 0.847, 0.521], [0.325, 0.153, 0.479], [0.153, 0.675, 0.828], [0.500, 0.500, 0.000]],
  "formation_energy_uncorrected_mev_per_atom": -533,
  "density_g_cm3": 2.941,
  "total_magnetization_mub_per_cell": 1.05
}